DFT (PBE-GGA) results for an optimized crystal structure of TaTe2Pb2.

Cell: 7.839 7.839 4.736 Å, 90.00 90.00 90.00°
Space group P4/mbm (No. 127)
Unique sites:
Ta 0.000 0.000 0.000 x2
Te 0.184 0.316 0.500 x4
Pb 0.145 0.645 0.000 x4

Computed properties:
N(E_F): 7.10 states/eV/cell
Energy relative to the lowest polymorph listed for this composition: 380.2 meV/atom
E_tot: -4.4725 eV/atom
Raw formation energy: 638 meV/atom



DFT (PBE-GGA) results for an optimized crystal structure of TaTe2Pb.

Cell: 7.350 7.350 7.350 Å, 90.00 90.00 90.00°
Space group F-43m (No. 216)
Unique sites:
Ta 0.000 0.000 0.000 x4
Te 0.000 0.000 0.500 x4
Te 0.250 0.250 0.750 x4
Pb 0.250 0.250 0.250 x4

Computed properties:
N(E_F): 18.55 states/eV/cell
E_tot: -4.7224 eV/atom
Raw formation energy: 739 meV/atom



DFT (PBE-GGA) results for an optimized crystal structure of TaTe2Pb2.

Cell: 4.001 4.001 20.591 Å, 90.00 90.00 90.00°
Space group I4/mmm (No. 139)
Unique sites:
Ta 0.000 0.000 0.000 x2
Te 0.000 0.500 0.250 x4
Pb 0.000 0.000 0.425 x4

Computed properties:
N(E_F): 11.10 states/eV/cell
Energy relative to the lowest polymorph listed for this composition: 491.4 meV/atom
E_tot: -4.3613 eV/atom
Raw formation energy: 749 meV/atom



DFT (PBE-GGA) results for an optimized crystal structure of Ta2TePb.

Cell: 3.465 5.317 9.401 Å, 90.00 90.00 90.00°
Space group Cmmm (No. 65)
Unique sites:
Ta 0.000 0.000 0.239 x4
Te 0.000 0.500 0.000 x2
Pb 0.000 0.500 0.500 x2

Computed properties:
N(E_F): 7.76 states/eV/cell
Energy relative to the lowest polymorph listed for this composition: 584.7 meV/atom
E_tot: -6.9800 eV/atom
Raw formation energy: 659 meV/atom



DFT (PBE-GGA) results for an optimized crystal structure of TaTe2Pb.

Cell: 3.6020 3.6020 29.4134 Å, 90.00 90.00 120.00°
Space group R-3m (No. 166, hexagonal axes)
Unique sites:
Ta 0.0000 0.0000 0.0000 x3
Te 0.0000 0.0000 0.2692 x6
Pb 0.0000 0.0000 0.5000 x3

Computed properties:
N(E_F): 7.04 states/eV/cell
E_tot: -5.6395 eV/atom
Raw formation energy: -178 meV/atom



DFT (PBE-GGA) results for an optimized crystal structure of TaTe2Pb.

Cell: 5.435 3.784 10.828 Å, 90.00 90.00 90.00°
Space group Amm2 (No. 38)
Unique sites:
Ta 0.000 0.000 0.000 x2
Te 0.000 0.000 0.701 x2
Te 0.500 0.000 0.047 x2
Pb 0.500 0.000 0.334 x2

Computed properties:
N(E_F): 5.25 states/eV/cell
E_tot: -5.1993 eV/atom
Raw formation energy: 262 meV/atom



DFT (PBE-GGA) results for an optimized crystal structure of Ta2Te2Pb.

Cell: 3.930 3.930 18.008 Å, 90.00 90.00 90.00°
Space group I4/mmm (No. 139)
Unique sites:
Ta 0.000 0.500 0.250 x4
Te 0.000 0.000 0.134 x4
Pb 0.000 0.000 0.500 x2

Computed properties:
N(E_F): 6.18 states/eV/cell
Energy relative to the lowest polymorph listed for this composition: 0.0 meV/atom
E_tot: -6.6789 eV/atom
Raw formation energy: 61 meV/atom



DFT (PBE-GGA) results for an optimized crystal structure of TaTePb.

Cell: 3.773 5.228 16.517 Å, 90.00 90.00 90.00°
Space group Fmm2 (No. 42)
Unique sites:
Ta 0.000 0.000 0.000 x4
Te 0.000 0.000 0.622 x4
Pb 0.000 0.000 0.353 x4

Computed properties:
N(E_F): 7.19 states/eV/cell
Energy relative to the lowest polymorph listed for this composition: 198.4 meV/atom
E_tot: -5.9731 eV/atom
Raw formation energy: 261 meV/atom



DFT (PBE-GGA) results for an optimized crystal structure of TaTePb4.

Cell: 8.910 8.910 8.910 Å, 90.00 90.00 90.00°
Space group F-43m (No. 216)
Unique sites:
Ta 0.000 0.000 0.000 x4
Te 0.250 0.250 0.750 x4
Pb 0.126 0.126 0.374 x16

Computed properties:
N(E_F): 19.44 states/eV/cell
E_tot: -4.1697 eV/atom
Raw formation energy: 802 meV/atom



DFT (PBE-GGA) results for an optimized crystal structure of Ta2TePb.

Cell: 10.081 3.442 5.288 Å, 90.00 107.24 90.00°
Space group Cm (No. 8)
Unique sites:
Ta 0.000 0.000 0.000 x2
Ta 0.213 0.500 0.284 x2
Te 0.250 0.000 0.854 x2
Pb 0.470 0.000 0.476 x2

Computed properties:
N(E_F): 5.17 states/eV/cell
Energy relative to the lowest polymorph listed for this composition: 286.9 meV/atom
E_tot: -7.2778 eV/atom
Raw formation energy: 361 meV/atom



DFT (PBE-GGA) results for an optimized crystal structure of TaTe2Pb.

Cell: 3.718 3.718 7.616 Å, 90.00 90.00 90.00°
Space group P4mm (No. 99)
Unique sites:
Ta 0.000 0.000 0.000 x1
Te 0.000 0.000 0.401 x1
Te 0.500 0.500 0.141 x1
Pb 0.500 0.500 0.721 x1

Computed properties:
N(E_F): 2.35 states/eV/cell
E_tot: -5.2380 eV/atom
Raw formation energy: 223 meV/atom



DFT (PBE-GGA) results for an optimized crystal structure of TaTePb.

Cell: 5.0300 5.0300 3.2449 Å, 90.00 90.00 120.00°
Space group P-6m2 (No. 187)
Unique sites:
Ta 0.0000 0.0000 0.0000 x1
Te 0.6667 0.3333 0.0000 x1
Pb 0.3333 0.6667 0.5000 x1

Computed properties:
N(E_F): 1.79 states/eV/cell
Energy relative to the lowest polymorph listed for this composition: 347.0 meV/atom
E_tot: -5.8246 eV/atom
Raw formation energy: 410 meV/atom



Which formula does entry 6 have? TaTe2Pb